This record from the Open Quantum Materials Database describes crystalline HfGePb2 at its relaxed geometry. The functional is GGA-PBE.

Cell: 7.394 7.394 7.394 Å, 90.00 90.00 90.00°
Space group F-43m (No. 216)
Symmetry-distinct sites (fractional):
Hf  0.000  0.000  0.000 (multiplicity 4)
Ge  0.250  0.250  0.750 (multiplicity 4)
Pb  0.000  0.000  0.500 (multiplicity 4)
Pb  0.250  0.250  0.250 (multiplicity 4)

Results
Uncorrected energy, eV/atom: -5.132

***

This record from the Open Quantum Materials Database describes crystalline HfGePd2 at its relaxed geometry. The functional is GGA-PBE.

Cell: 6.444 6.444 6.444 Å, 90.00 90.00 90.00°
Space group F-43m (No. 216)
Symmetry-distinct sites (fractional):
Hf  0.000  0.000  0.000 (multiplicity 4)
Ge  0.250  0.250  0.750 (multiplicity 4)
Pd  0.000  0.000  0.500 (multiplicity 4)
Pd  0.250  0.250  0.250 (multiplicity 4)

Results
Uncorrected energy, eV/atom: -6.785

***

This record from the Open Quantum Materials Database describes crystalline HfGe2Pd at its relaxed geometry. The functional is GGA-PBE.

Cell: 6.605 6.605 6.605 Å, 90.00 90.00 90.00°
Space group F-43m (No. 216)
Symmetry-distinct sites (fractional):
Hf  0.000  0.000  0.000 (multiplicity 4)
Ge  0.000  0.000  0.500 (multiplicity 4)
Ge  0.250  0.250  0.250 (multiplicity 4)
Pd  0.250  0.250  0.750 (multiplicity 4)

Results
Uncorrected energy, eV/atom: -6.297

***

This record from the Open Quantum Materials Database describes crystalline Hf2Ge2PdPt at its relaxed geometry. The functional is GGA-PBE.

Cell: 7.538 4.348 14.431 Å, 90.00 100.00 90.00°
Space group Pm (No. 6)
Symmetry-distinct sites (fractional):
Hf  0.000  0.000  0.000 (multiplicity 1)
Hf  0.000  0.500  0.500 (multiplicity 1)
Hf  0.249  0.000  0.750 (multiplicity 1)
Hf  0.250  0.500  0.251 (multiplicity 1)
Hf  0.499  0.000  0.500 (multiplicity 1)
Hf  0.499  0.500  0.000 (multiplicity 1)
Hf  0.750  0.000  0.251 (multiplicity 1)
Hf  0.750  0.500  0.751 (multiplicity 1)
Ge  0.125  0.000  0.376 (multiplicity 1)
Ge  0.126  0.500  0.876 (multiplicity 1)
Ge  0.374  0.000  0.124 (multiplicity 1)
Ge  0.376  0.500  0.625 (multiplicity 1)
Ge  0.622  0.000  0.875 (multiplicity 1)
Ge  0.625  0.500  0.377 (multiplicity 1)
Ge  0.872  0.000  0.625 (multiplicity 1)
Ge  0.875  0.500  0.126 (multiplicity 1)
Pd  0.312  0.000  0.938 (multiplicity 1)
Pd  0.312  0.500  0.438 (multiplicity 1)
Pd  0.562  0.000  0.688 (multiplicity 1)
Pd  0.812  0.000  0.439 (multiplicity 1)
Pt  0.061  0.500  0.688 (multiplicity 1)
Pt  0.062  0.000  0.187 (multiplicity 1)
Pt  0.562  0.500  0.188 (multiplicity 1)
Pt  0.812  0.500  0.938 (multiplicity 1)

Results
Uncorrected energy, eV/atom: -7.588

***

This record from the Open Quantum Materials Database describes crystalline Hf2ScGe4Pd4 at its relaxed geometry. The functional is GGA-PBE.

Cell: 4.032 7.019 13.443 Å, 90.00 90.00 90.00°
Space group Immm (No. 71)
Symmetry-distinct sites (fractional):
Hf  0.000  0.000  0.123 (multiplicity 4)
Sc  0.000  0.500  0.000 (multiplicity 2)
Ge  0.000  0.313  0.500 (multiplicity 4)
Ge  0.000  0.500  0.214 (multiplicity 4)
Pd  0.000  0.205  0.325 (multiplicity 8)

Results
Uncorrected energy, eV/atom: -6.689

***

This record from the Open Quantum Materials Database describes crystalline HfSc2Ge3Pd3 at its relaxed geometry. The functional is GGA-PBE.

Cell: 3.897 11.741 6.815 Å, 90.00 90.00 90.00°
Space group Amm2 (No. 38)
Symmetry-distinct sites (fractional):
Hf  0.000  0.000  0.000 (multiplicity 2)
Sc  0.000  0.209  0.371 (multiplicity 4)
Ge  0.000  0.000  0.585 (multiplicity 2)
Ge  0.500  0.165  0.079 (multiplicity 4)
Pd  0.500  0.000  0.331 (multiplicity 2)
Pd  0.500  0.128  0.706 (multiplicity 4)

Results
Uncorrected energy, eV/atom: -6.672